CaMgCu2: relaxed, PBE.

The structure in POSCAR format:
```
CaMgCu2
1.0
10.835 1.583 1.425
8.661 1.915 6.577
-9.388 -4.507 -3.671
Ca Mg Cu
2 2 4
direct
0.108 0.108 0.000 Ca
0.892 0.892 0.000 Ca
0.250 0.750 0.500 Mg
0.750 0.250 0.500 Mg
0.000 0.500 0.500 Cu
0.500 0.000 0.500 Cu
0.335 0.335 0.000 Cu
0.665 0.665 0.000 Cu
```

Output
Formation energy ... 0.104 eV per atom



YMnCoPb2: relaxed, PBE.

The structure in POSCAR format:
```
YMnCoPb2
1.0
-0.103 4.680 3.528
-4.812 0.709 -1.081
-1.517 -3.429 4.505
Pb Y Mn Co
2 1 1 1
direct
0.000 0.000 0.500 Pb
0.500 0.000 0.000 Pb
0.000 0.000 0.000 Y
0.000 0.500 0.000 Mn
0.500 0.500 0.500 Co
```

Output
Formation energy ... 1.512 eV per atom



RbBe3Se: relaxed, PBE.

The structure in POSCAR format:
```
RbBe3Se
1.0
4.845 0.000 0.000
0.000 4.845 0.000
0.000 0.000 4.845
Be Se Rb
3 1 1
direct
0.000 0.500 0.000 Be
0.000 0.000 0.500 Be
0.500 0.000 0.000 Be
0.000 0.000 0.000 Se
0.500 0.500 0.500 Rb
```

Output
Uncorrected formation energy ... 1.14 eV per atom
Polymorph energy (0 for the lowest one) ... 0 meV/atom



HfPtF3: relaxed, PBE.

The structure in POSCAR format:
```
HfPtF3
1.0
4.356 0.000 0.000
0.000 4.356 0.000
0.000 0.000 4.356
Hf Pt F
1 1 3
direct
0.500 0.500 0.500 Hf
0.000 0.000 0.000 Pt
0.000 0.500 0.000 F
0.000 0.000 0.500 F
0.500 0.000 0.000 F
```

Output
Uncorrected formation energy ... -0.28 eV per atom
Polymorph energy (0 for the lowest one) ... 1594 meV/atom



ScWSe2: relaxed, PBE.

The structure in POSCAR format:
```
ScWSe2
1.0
-1.975 3.274 -1.825
-1.327 0.718 -3.959
-5.563 -1.575 0.197
Sc Se W
1 2 1
direct
0.250 0.250 0.250 Sc
0.007 0.007 0.974 Se
0.493 0.493 0.526 Se
0.750 0.750 0.750 W
```

Output
Uncorrected formation energy ... -0.40 eV per atom
Polymorph energy (0 for the lowest one) ... 171 meV/atom



Sr2Nd4Pb3O2: relaxed, PBE.

The structure in POSCAR format:
```
Sr2Nd4Pb3O2
1.0
4.954 0.000 0.000
0.000 4.954 0.000
-2.477 -2.477 13.203
Sr Nd Pb O
2 4 3 2
direct
0.303 0.303 0.607 Sr
0.697 0.697 0.393 Sr
0.415 0.915 0.830 Nd
0.915 0.415 0.830 Nd
0.085 0.585 0.170 Nd
0.585 0.085 0.170 Nd
0.000 0.000 0.000 Pb
0.171 0.171 0.341 Pb
0.829 0.829 0.659 Pb
0.404 0.404 0.809 O
0.596 0.596 0.191 O
```

Output
Uncorrected formation energy ... -1.38 eV per atom